1.
DFT (GGA-PBE) results for a relaxed structure of Ho5CdNi.

Values from the calculation:
density: 8.6 g/cm3
energy relative to the elements: -0.479 eV per formula unit

Cell lengths 6.3977, 6.3977, 11.2578 Å; angles 107.46, 107.46, 63.77 degrees
Last column: nearest neighbours and their distance in Å.
Sites, in units of the cell vectors:
Ho  0.0008  0.9992  0.7500  2 Ni 2.81
Ho  0.0474  0.4014  0.6364  1 Ni 2.66
Ho  0.2025  0.5462  0.9528  1 Ni 2.56
Ho  0.4014  0.0474  0.1364  1 Ni 2.66
Ho  0.4538  0.7975  0.5472  1 Ni 2.56
Ho  0.5462  0.2025  0.4528  1 Ni 2.56
Ho  0.5986  0.9526  0.8636  1 Ni 2.66
Ho  0.7975  0.4538  0.0472  1 Ni 2.56
Ho  0.9526  0.5986  0.3636  1 Ni 2.66
Ho  0.9992  0.0008  0.2500  2 Ni 2.81
Cd  0.4699  0.5301  0.2500  7 Ho 3.14-3.34
Cd  0.5301  0.4699  0.7500  7 Ho 3.14-3.34
Ni  0.0000  0.0000  0.0000  6 Ho 2.56-2.81
Ni  0.0000  0.0000  0.5000  6 Ho 2.56-2.81

2.
DFT (GGA-PBE) results for a relaxed structure of Al2InBr.

Values from the calculation:
density: 4.3 g/cm3
formation energy from raw total energies: 0.180 eV per atom
energy above the most stable polymorph in this dataset: 0.157 eV/atom

Cell lengths 3.2843, 5.0230, 5.8861 Å; angles 90.00, 90.00, 90.00 degrees
Last column: nearest neighbours and their distance in Å.
Sites, in units of the cell vectors:
Al  0.0000  0.0000  0.2454  2 Al 2.89-3.00
Al  0.0000  0.0000  0.7546  2 Al 2.89-3.00
In  0.5000  0.5000  0.0000  2 Br 2.94, 2 In 3.28
Br  0.5000  0.5000  0.5000  2 In 2.94, 2 Br 3.28

3.
DFT (GGA-PBE) results for a relaxed structure of CdSbAs2Se.

Values from the calculation:
density: 5.1 g/cm3
formation energy from raw total energies: 0.715 eV per atom
energy above the most stable polymorph in this dataset: 0.000 eV/atom

Cell lengths 5.3362, 5.3362, 5.2873 Å; angles 90.00, 90.00, 90.00 degrees
Last column: nearest neighbours and their distance in Å.
Sites, in units of the cell vectors:
Cd  0.0000  0.0000  0.0000  8 As 3.76, 4 Se 3.77
Sb  0.5000  0.5000  0.5000  2 Se 2.64, 4 As 2.67
As  0.0000  0.5000  0.5000  2 Sb 2.67
As  0.5000  0.0000  0.5000  2 Sb 2.67
Se  0.5000  0.5000  0.0000  2 Sb 2.64

4.
DFT (GGA-PBE) results for a relaxed structure of K4Sm3HfS8.

Values from the calculation:
density: 4.2 g/cm3
formation energy from raw total energies: -1.742 eV per atom

Cell lengths 8.7395, 8.7395, 8.7395 Å; angles 54.99, 54.99, 54.99 degrees
Last column: nearest neighbours and their distance in Å.
Sites, in units of the cell vectors:
K  0.0000  0.0000  0.0000  6 S 3.33
K  0.0000  0.5000  0.5000  6 S 3.16
K  0.5000  0.0000  0.5000  6 S 3.16
K  0.5000  0.5000  0.0000  6 S 3.16
Sm  0.0000  0.0000  0.5000  6 S 2.81-2.83
Sm  0.0000  0.5000  0.0000  6 S 2.81-2.83
Sm  0.5000  0.0000  0.0000  6 S 2.81-2.83
Hf  0.5000  0.5000  0.5000  6 S 2.63
S  0.2372  0.2372  0.2372  3 Sm 2.81
S  0.2559  0.7224  0.7224  1 Hf 2.63, 2 Sm 2.83
S  0.2776  0.2776  0.7441  1 Hf 2.63, 2 Sm 2.83
S  0.2776  0.7441  0.2776  1 Hf 2.63, 2 Sm 2.83
S  0.7224  0.2559  0.7224  1 Hf 2.63, 2 Sm 2.83
S  0.7224  0.7224  0.2559  1 Hf 2.63, 2 Sm 2.83
S  0.7441  0.2776  0.2776  1 Hf 2.63, 2 Sm 2.83
S  0.7628  0.7628  0.7628  3 Sm 2.81

5.
DFT (GGA-PBE) results for a relaxed structure of Sm4Y7Pu.

Values from the calculation:
density: 6.1 g/cm3
energy relative to the elements: 2.819 eV per formula unit

Cell lengths 6.0531, 8.5288, 9.3078 Å; angles 115.74, 92.41, 109.93 degrees
Last column: nearest neighbours and their distance in Å.
Sites, in units of the cell vectors:
Sm  0.0448  0.1793  0.4531  3 Sm 3.41-3.65, 7 Y 3.48-3.81
Sm  0.1420  0.4593  0.2615  7 Y 3.24-3.39, 1 Sm 3.47
Sm  0.8580  0.5407  0.7385  7 Y 3.24-3.39, 1 Sm 3.47
Sm  0.9552  0.8207  0.5469  3 Sm 3.41-3.65, 7 Y 3.48-3.81
Y  0.0000  0.0000  0.0000  2 Pu 3.03, 2 Sm 3.36
Y  0.2248  0.4021  0.8869  4 Y 3.30-3.67, 3 Sm 3.34-3.56
Y  0.4116  0.8706  0.2825  2 Sm 3.24-3.62, 1 Pu 3.26, 3 Y 3.52-3.60
Y  0.4135  0.6636  0.6574  1 Pu 3.09, 3 Sm 3.36-3.39
Y  0.5865  0.3364  0.3426  1 Pu 3.09, 3 Sm 3.36-3.39
Y  0.5884  0.1294  0.7175  2 Sm 3.24-3.62, 1 Pu 3.26, 3 Y 3.52-3.60
Y  0.7752  0.5979  0.1131  4 Y 3.30-3.67, 3 Sm 3.34-3.56
Pu  0.5000  0.0000  0.0000  6 Y 3.03-3.26

6.
DFT (GGA-PBE) results for a relaxed structure of Tb4TmBi5.

Values from the calculation:
density: 9.7 g/cm3
energy relative to the elements: -8.591 eV per formula unit

Cell lengths 7.7574, 7.7574, 7.7574 Å; angles 99.59, 99.59, 131.82 degrees
Last column: nearest neighbours and their distance in Å.
Sites, in units of the cell vectors:
Tb  0.0989  0.6995  0.7984  6 Bi 3.17-3.18
Tb  0.3005  0.0989  0.3993  6 Bi 3.17-3.18
Tb  0.6995  0.9011  0.6007  6 Bi 3.17-3.18
Tb  0.9011  0.3005  0.2016  6 Bi 3.17-3.18
Tm  0.5000  0.5000  0.0000  6 Bi 3.14-3.17
Bi  0.0000  0.0000  0.0000  2 Tm 3.17, 4 Tb 3.17
Bi  0.2025  0.4004  0.6029  1 Tm 3.14, 5 Tb 3.17-3.18
Bi  0.4004  0.7975  0.1979  1 Tm 3.14, 5 Tb 3.17-3.18
Bi  0.5996  0.2025  0.8020  1 Tm 3.14, 5 Tb 3.17-3.18
Bi  0.7975  0.5996  0.3971  1 Tm 3.14, 5 Tb 3.17-3.18